# 1
VASP calculation (PBE-GGA) on TlIn7Pb3 after structural relaxation.

Unit cell a=8.188 b=8.188 c=5.842 alpha=110.07 beta=110.07 gamma=91.26
Fractional coordinates of all 11 atoms:
Tl  0.000  0.000  0.000
In  0.000  0.000  0.500
In  0.087  0.573  0.831
In  0.319  0.319  0.322
In  0.427  0.913  0.169
In  0.573  0.087  0.831
In  0.681  0.681  0.678
In  0.913  0.427  0.169
Pb  0.269  0.731  0.500
Pb  0.500  0.500  0.000
Pb  0.731  0.269  0.500

Properties
Crystal system   monoclinic
ΔH_f (0 K)   1.304 eV per formula unit
Space group   C2/m, No. 12

=====

# 2
VASP calculation (PBE-GGA) on PmNdTl after structural relaxation.

Unit cell a=5.567 b=5.567 c=6.906 alpha=90.00 beta=90.00 gamma=120.00
Fractional coordinates of all 6 atoms:
Pm  0.333  0.667  0.250
Pm  0.667  0.333  0.750
Nd  0.000  0.000  0.000
Nd  0.000  0.000  0.500
Tl  0.333  0.667  0.750
Tl  0.667  0.333  0.250

Properties
Offset from the most stable computed form   0 meV per atom
Crystal system   hexagonal
ΔH_f (0 K)   -0.802 eV per formula unit
Space group   P6_3/mmc, No. 194

=====

# 3
VASP calculation (PBE-GGA) on Sb2PbW after structural relaxation.

Unit cell a=4.068 b=4.781 c=10.331 alpha=90.00 beta=90.00 gamma=90.00
Fractional coordinates of all 8 atoms:
Sb  0.000  0.000  0.000
Sb  0.000  0.500  0.308
Sb  0.500  0.000  0.308
Sb  0.500  0.500  0.000
Pb  0.000  0.000  0.592
Pb  0.500  0.500  0.592
W  0.000  0.500  0.814
W  0.500  0.000  0.814

Properties
Crystal system   orthorhombic
Space group   Cmm2, No. 35

=====

# 4
VASP calculation (PBE-GGA) on Y2VGe2 after structural relaxation.

Unit cell a=7.057 b=7.057 c=4.282 alpha=90.00 beta=90.00 gamma=90.00
Fractional coordinates of all 10 atoms:
Y  0.176  0.324  0.000
Y  0.324  0.824  0.000
Y  0.676  0.176  0.000
Y  0.824  0.676  0.000
V  0.000  0.000  0.500
V  0.500  0.500  0.500
Ge  0.129  0.629  0.500
Ge  0.371  0.129  0.500
Ge  0.629  0.871  0.500
Ge  0.871  0.371  0.500

Properties
Offset from the most stable computed form   0 meV per atom
Crystal system   tetragonal
ΔH_f (0 K)   -3.122 eV per formula unit
Space group   P4/mbm, No. 127

=====

# 5
VASP calculation (PBE-GGA) on TaTcRuPt after structural relaxation.

Unit cell a=3.934 b=3.940 c=3.944 alpha=90.00 beta=90.00 gamma=90.00
Fractional coordinates of all 4 atoms:
Ta  0.000  0.000  0.000
Tc  0.500  0.000  0.500
Ru  0.500  0.500  0.000
Pt  0.000  0.500  0.500

Properties
Crystal system   orthorhombic
ΔH_f (0 K)   -1.646 eV per formula unit
Space group   Pmmm, No. 47

=====

# 6
VASP calculation (PBE-GGA) on CdCoCl2 after structural relaxation.

Unit cell a=3.405 b=3.405 c=27.733 alpha=90.00 beta=90.00 gamma=120.00
Fractional coordinates of all 12 atoms:
Cd  0.000  0.000  0.000
Cd  0.333  0.667  0.667
Cd  0.667  0.333  0.333
Co  0.000  0.000  0.500
Co  0.333  0.667  0.167
Co  0.667  0.333  0.833
Cl  0.000  0.000  0.218
Cl  0.000  0.000  0.782
Cl  0.333  0.667  0.449
Cl  0.333  0.667  0.884
Cl  0.667  0.333  0.116
Cl  0.667  0.333  0.551

Properties
Offset from the most stable computed form   9 meV per atom
Crystal system   trigonal
Space group   R-3m, No. 166

=====

Number 1: calculated total energy -2.851 eV/atom, M_tot 0.000 μB per atom. Number 2: calculated total energy -4.229 eV/atom, M_tot 0.186 μB per atom. Number 3: calculated total energy -5.608 eV/atom, M_tot 0.000 μB per atom. Number 4: calculated total energy -6.881 eV/atom, M_tot 0.530 μB per atom. Number 5: calculated total energy -9.795 eV/atom, M_tot 0.000 μB per atom. Number 6: calculated total energy -3.276 eV/atom, M_tot 0.700 μB per atom.